A plane-wave DFT calculation with GGA-PBE was carried out for a geometry-optimized RbCaBr3 structure.

Computed properties:
- formation energy without anion corrections (eV per atom) = -1.9274
- magnetization (μB per formula unit) = 0.0
- crystal system = triclinic

Structure (CIF):
```
data_RbCaBr3
_symmetry_space_group_name_H-M 'P 1'
_symmetry_Int_Tables_number 1
_symmetry_space_group_name_Hall 'P 1'
_cell_length_a 7.759
_cell_length_b 7.759
_cell_length_c 8.593
_cell_angle_alpha 90.03
_cell_angle_beta 90.02
_cell_angle_gamma 119.99
loop_
_atom_site_label
_atom_site_fract_x
_atom_site_fract_y
_atom_site_fract_z
_atom_site_occupancy
Rb1 0.000 0.000 0.000 1
Rb2 0.333 0.667 0.494 1
Ca1 0.333 0.667 0.992 1
Ca2 0.667 0.333 0.991 1
Br1 0.002 0.389 0.189 1
Br2 0.002 0.620 0.798 1
Br3 0.380 0.382 0.798 1
Br4 0.387 0.999 0.189 1
Br5 0.612 0.613 0.189 1
Br6 0.617 0.997 0.798 1
```